This record from Alexandria via LeMat-Bulk describes a relaxed structure of Dy2Sc3Cu4. The functional is PBE.

abc: 7.0610 7.0099 7.8339
angles: 90.00 108.91 90.00
Sites, in units of the cell vectors:
Dy 0.1940 0.1665 0.0878
Dy 0.1940 0.3335 0.5878
Dy 0.8060 0.6665 0.4122
Dy 0.8060 0.8335 0.9122
Sc 0.2433 0.6546 0.2501
Sc 0.2433 0.8454 0.7501
Sc 0.5000 0.0000 0.5000
Sc 0.5000 0.5000 0.0000
Sc 0.7567 0.1546 0.2499
Sc 0.7567 0.3454 0.7499
Cu 0.0944 0.5478 0.8879
Cu 0.0944 0.9522 0.3879
Cu 0.4862 0.6283 0.6155
Cu 0.4862 0.8717 0.1155
Cu 0.5138 0.1283 0.8845
Cu 0.5138 0.3717 0.3845
Cu 0.9056 0.0478 0.6121
Cu 0.9056 0.4522 0.1121


This record from Alexandria via LeMat-Bulk describes a relaxed structure of YHg3. The functional is PBE.

abc: 3.7866 3.7866 8.7282
angles: 90.00 90.00 120.00
Sites, in units of the cell vectors:
Y 0.0000 0.0000 0.0000
Hg 0.0000 0.0000 0.5000
Hg 0.6667 0.3333 0.2528
Hg 0.6667 0.3333 0.7472


This record from Alexandria via LeMat-Bulk describes a relaxed structure of PmSiI. The functional is PBE.

abc: 4.2533 24.0749 3.9272
angles: 90.00 90.00 90.00
Sites, in units of the cell vectors:
Pm 0.0000 0.0729 0.2500
Pm 0.0000 0.9271 0.7500
Pm 0.5000 0.4271 0.7500
Pm 0.5000 0.5729 0.2500
Si 0.0000 0.4710 0.2500
Si 0.0000 0.5290 0.7500
Si 0.5000 0.0290 0.7500
Si 0.5000 0.9710 0.2500
I 0.0000 0.1723 0.7500
I 0.0000 0.8277 0.2500
I 0.5000 0.3277 0.2500
I 0.5000 0.6723 0.7500

Output
The energy above the lowest structure with this stoichiometry is 131 meV/atom. Its formation energy from raw total energies is -0.94 eV per atom.


This record from Alexandria via LeMat-Bulk describes a relaxed structure of Ti2GaAu2. The functional is PBE.

abc: 2.8878 20.4802 2.8904
angles: 90.00 90.00 90.00
Sites, in units of the cell vectors:
Ti 0.0000 0.0917 0.0000
Ti 0.0000 0.9083 0.0000
Ti 0.5000 0.4083 0.0000
Ti 0.5000 0.5917 0.0000
Ga 0.0000 0.5000 0.5000
Ga 0.5000 0.0000 0.5000
Au 0.0000 0.3121 0.5000
Au 0.0000 0.6879 0.5000
Au 0.5000 0.1879 0.5000
Au 0.5000 0.8121 0.5000

Output
The energy above the lowest structure with this stoichiometry is 0 meV/atom.


This record from Alexandria via LeMat-Bulk describes a relaxed structure of Tb12Rh3O5. The functional is PBE.

abc: 13.1741 13.1741 13.1741
angles: 109.47 109.47 109.47
Sites, in units of the cell vectors:
Tb 0.0226 0.2070 0.1180
Tb 0.0226 0.3156 0.9046
Tb 0.0890 0.7070 0.6844
Tb 0.0890 0.8820 0.4046
Tb 0.0954 0.6180 0.4110
Tb 0.0954 0.9774 0.6844
Tb 0.1180 0.0226 0.2070
Tb 0.1180 0.5954 0.9110
Tb 0.1844 0.2070 0.5890
Tb 0.1844 0.4774 0.5954
Tb 0.2070 0.1180 0.0226
Tb 0.2070 0.5890 0.1844
Tb 0.2930 0.3156 0.9110
Tb 0.2930 0.4774 0.3820
Tb 0.3156 0.9046 0.0226
Tb 0.3156 0.9110 0.2930
Tb 0.3820 0.2930 0.4774
Tb 0.3820 0.5890 0.9046
Tb 0.4046 0.0890 0.8820
Tb 0.4046 0.8156 0.5226
Tb 0.4110 0.0954 0.6180
Tb 0.4110 0.8156 0.7930
Tb 0.4774 0.3820 0.2930
Tb 0.4774 0.5954 0.1844
Tb 0.5226 0.4046 0.8156
Tb 0.5226 0.6180 0.7070
Tb 0.5890 0.1844 0.2070
Tb 0.5890 0.9046 0.3820
Tb 0.5954 0.1844 0.4774
Tb 0.5954 0.9110 0.1180
Tb 0.6180 0.4110 0.0954
Tb 0.6180 0.7070 0.5226
Tb 0.6844 0.0890 0.7070
Tb 0.6844 0.0954 0.9774
Tb 0.7070 0.5226 0.6180
Tb 0.7070 0.6844 0.0890
Tb 0.7930 0.4110 0.8156
Tb 0.7930 0.8820 0.9774
Tb 0.8156 0.5226 0.4046
Tb 0.8156 0.7930 0.4110
Tb 0.8820 0.4046 0.0890
Tb 0.8820 0.9774 0.7930
Tb 0.9046 0.0226 0.3156
Tb 0.9046 0.3820 0.5890
Tb 0.9110 0.1180 0.5954
Tb 0.9110 0.2930 0.3156
Tb 0.9774 0.6844 0.0954
Tb 0.9774 0.7930 0.8820
Rh 0.1250 0.2500 0.3750
Rh 0.1250 0.3750 0.7500
Rh 0.2500 0.3750 0.1250
Rh 0.2500 0.8750 0.6250
Rh 0.3750 0.1250 0.2500
Rh 0.3750 0.7500 0.1250
Rh 0.6250 0.2500 0.8750
Rh 0.6250 0.8750 0.7500
Rh 0.7500 0.1250 0.3750
Rh 0.7500 0.6250 0.8750
Rh 0.8750 0.6250 0.2500
Rh 0.8750 0.7500 0.6250
O 0.0000 0.0000 0.0000
O 0.0000 0.0000 0.5000
O 0.0000 0.5000 0.0000
O 0.0000 0.5000 0.5000
O 0.1250 0.7500 0.8750
O 0.1250 0.8750 0.2500
O 0.2500 0.1250 0.8750
O 0.2500 0.6250 0.3750
O 0.3750 0.2500 0.6250
O 0.3750 0.6250 0.7500
O 0.5000 0.0000 0.0000
O 0.5000 0.0000 0.5000
O 0.5000 0.5000 0.0000
O 0.5000 0.5000 0.5000
O 0.6250 0.3750 0.2500
O 0.6250 0.7500 0.3750
O 0.7500 0.3750 0.6250
O 0.7500 0.8750 0.1250
O 0.8750 0.1250 0.7500
O 0.8750 0.2500 0.1250

Output
Its formation energy from raw total energies is -1.64 eV per atom.


This record from Alexandria via LeMat-Bulk describes a relaxed structure of SrYIO2. The functional is PBE.

abc: 4.6313 4.6313 5.8737
angles: 90.00 90.00 90.00
Sites, in units of the cell vectors:
Sr 0.0000 0.0000 0.0000
Y 0.5000 0.5000 0.5000
I 0.0000 0.0000 0.5000
O 0.0000 0.5000 0.0000
O 0.5000 0.0000 0.0000

Output
The energy above the lowest structure with this stoichiometry is 1084 meV/atom. Its formation energy from raw total energies is -0.89 eV per atom.


This record from Alexandria via LeMat-Bulk describes a relaxed structure of AcEuHoGa. The functional is PBE.

abc: 7.9072 7.9072 7.9072
angles: 90.00 90.00 90.00
Sites, in units of the cell vectors:
Ac 0.0000 0.0000 0.0000
Ac 0.0000 0.5000 0.5000
Ac 0.5000 0.0000 0.5000
Ac 0.5000 0.5000 0.0000
Eu 0.2500 0.2500 0.2500
Eu 0.2500 0.7500 0.7500
Eu 0.7500 0.2500 0.7500
Eu 0.7500 0.7500 0.2500
Ho 0.2500 0.2500 0.7500
Ho 0.2500 0.7500 0.2500
Ho 0.7500 0.2500 0.2500
Ho 0.7500 0.7500 0.7500
Ga 0.0000 0.0000 0.5000
Ga 0.0000 0.5000 0.0000
Ga 0.5000 0.0000 0.0000
Ga 0.5000 0.5000 0.5000


This record from Alexandria via LeMat-Bulk describes a relaxed structure of Re3BOs. The functional is PBE.

abc: 6.4651 5.2494 8.3574
angles: 90.00 107.22 90.00
Sites, in units of the cell vectors:
Re 0.0161 0.0919 0.1875
Re 0.0161 0.4081 0.6875
Re 0.2066 0.5042 0.0554
Re 0.2066 0.9958 0.5554
Re 0.3740 0.6813 0.8107
Re 0.3740 0.8187 0.3107
Re 0.6260 0.1813 0.6893
Re 0.6260 0.3187 0.1893
Re 0.7934 0.0042 0.4446
Re 0.7934 0.4958 0.9446
Re 0.9839 0.5919 0.3125
Re 0.9839 0.9081 0.8125
B 0.2532 0.5679 0.5458
B 0.2532 0.9321 0.0458
B 0.7468 0.0679 0.9542
B 0.7468 0.4321 0.4542
Os 0.3838 0.1701 0.8843
Os 0.3838 0.3299 0.3843
Os 0.6162 0.6701 0.6157
Os 0.6162 0.8299 0.1157

Output
The energy above the lowest structure with this stoichiometry is 0 meV/atom.


This record from Alexandria via LeMat-Bulk describes a relaxed structure of NaPaGa2Cl8. The functional is PBE.

abc: 6.8820 8.6621 6.9086
angles: 90.00 95.20 90.00
Sites, in units of the cell vectors:
Na 0.0000 0.0000 0.0000
Pa 0.0000 0.5000 0.0000
Ga 0.5000 0.2187 0.5000
Ga 0.5000 0.7813 0.5000
Cl 0.1267 0.2843 0.7859
Cl 0.1267 0.7157 0.7859
Cl 0.3245 0.5000 0.2054
Cl 0.3282 0.0000 0.2781
Cl 0.6718 0.0000 0.7219
Cl 0.6755 0.5000 0.7946
Cl 0.8733 0.2843 0.2141
Cl 0.8733 0.7157 0.2141

Output
Its formation energy from raw total energies is -1.46 eV per atom.


This record from Alexandria via LeMat-Bulk describes a relaxed structure of SiIF2. The functional is PBE.

abc: 3.1266 3.1266 30.2614
angles: 90.00 90.00 120.00
Sites, in units of the cell vectors:
Si 0.0000 0.0000 0.0000
Si 0.3333 0.6667 0.6667
Si 0.6667 0.3333 0.3333
I 0.0000 0.0000 0.5000
I 0.3333 0.6667 0.1667
I 0.6667 0.3333 0.8333
F 0.0000 0.0000 0.0541
F 0.0000 0.0000 0.9459
F 0.3333 0.6667 0.6125
F 0.3333 0.6667 0.7208
F 0.6667 0.3333 0.2792
F 0.6667 0.3333 0.3875

Output
The energy above the lowest structure with this stoichiometry is 0 meV/atom. Its formation energy from raw total energies is -1.26 eV per atom.


This record from Alexandria via LeMat-Bulk describes a relaxed structure of Ta3Au. The functional is PBE.

abc: 9.3669 9.3669 2.8388
angles: 90.00 90.00 120.00
Sites, in units of the cell vectors:
Ta 0.0000 0.5000 0.0000
Ta 0.1667 0.3333 0.3333
Ta 0.1667 0.8333 0.3333
Ta 0.3333 0.1667 0.6667
Ta 0.5000 0.0000 0.0000
Ta 0.5000 0.5000 0.0000
Ta 0.6667 0.8333 0.3333
Ta 0.8333 0.1667 0.6667
Ta 0.8333 0.6667 0.6667
Au 0.0000 0.0000 0.0000
Au 0.3333 0.6667 0.6667
Au 0.6667 0.3333 0.3333

Output
The energy above the lowest structure with this stoichiometry is 97 meV/atom.


This record from Alexandria via LeMat-Bulk describes a relaxed structure of TlHg2I. The functional is PBE.

abc: 8.2854 8.2854 8.2854
angles: 90.00 90.00 90.00
Sites, in units of the cell vectors:
Tl 0.0000 0.0000 0.0000
Tl 0.0000 0.5000 0.5000
Tl 0.5000 0.0000 0.5000
Tl 0.5000 0.5000 0.0000
Hg 0.2500 0.2500 0.2500
Hg 0.2500 0.2500 0.7500
Hg 0.2500 0.7500 0.2500
Hg 0.2500 0.7500 0.7500
Hg 0.7500 0.2500 0.2500
Hg 0.7500 0.2500 0.7500
Hg 0.7500 0.7500 0.2500
Hg 0.7500 0.7500 0.7500
I 0.0000 0.0000 0.5000
I 0.0000 0.5000 0.0000
I 0.5000 0.0000 0.0000
I 0.5000 0.5000 0.5000

Output
The energy above the lowest structure with this stoichiometry is 146 meV/atom. Its formation energy from raw total energies is -0.16 eV per atom.


This record from Alexandria via LeMat-Bulk describes a relaxed structure of Ag3Os. The functional is PBE.

abc: 9.7545 2.6888 5.1485
angles: 90.00 98.02 90.00
Sites, in units of the cell vectors:
Ag 0.0000 0.0000 0.0000
Ag 0.2460 0.0000 0.7436
Ag 0.2540 0.5000 0.2564
Ag 0.5000 0.5000 0.0000
Ag 0.7460 0.5000 0.7436
Ag 0.7540 0.0000 0.2564
Os 0.0000 0.5000 0.5000
Os 0.5000 0.0000 0.5000

Output
The energy above the lowest structure with this stoichiometry is 169 meV/atom.


Raw total energy list, top to bottom, in eV per cell: -92.769; -8.054; -58.118; -54.433; -540.726; -24.061; -86.878; -219.046; -49.153; -47.248; -115.958; -20.684; -35.010